{"formula": "Sr2Ca6Mn8O23", "functional": "GGA+U", "state": "optimized geometry", "sg": "Pmm2, No. 25", "final_energy_ev_per_atom": -6.93, "n_ef_per_ev_fu": 2.17, "lattice": [[7.620, 0.000, 0.000], [0.000, 7.806, 0.000], [0.000, 0.000, 7.564]], "species": ["Sr", "Sr", "Ca", "Ca", "Ca", "Ca", "Ca", "Ca", "Mn", "Mn", "Mn", "Mn", "Mn", "Mn", "Mn", "Mn", "O", "O", "O", "O", "O", "O", "O", "O", "O", "O", "O", "O", "O", "O", "O", "O", "O", "O", "O", "O", "O", "O", "O"], "fractional_positions": [[0.000, 0.243, 0.000], [0.000, 0.757, 0.000], [0.000, 0.244, 0.490], [0.000, 0.756, 0.490], [0.500, 0.244, 0.480], [0.500, 0.247, 0.006], [0.500, 0.753, 0.006], [0.500, 0.756, 0.480], [0.250, 0.000, 0.742], [0.250, 0.500, 0.248], [0.252, 0.000, 0.247], [0.265, 0.500, 0.735], [0.735, 0.500, 0.735], [0.748, 0.000, 0.247], [0.750, 0.000, 0.742], [0.750, 0.500, 0.248], [0.000, 0.000, 0.293], [0.000, 0.000, 0.688], [0.000, 0.500, 0.193], [0.183, 0.500, 0.497], [0.209, 0.000, 0.994], [0.230, 0.255, 0.740], [0.230, 0.745, 0.740], [0.258, 0.250, 0.251], [0.258, 0.750, 0.251], [0.295, 0.500, 0.990], [0.309, 0.000, 0.496], [0.500, 0.000, 0.193], [0.500, 0.000, 0.800], [0.500, 0.500, 0.299], [0.500, 0.500, 0.669], [0.691, 0.000, 0.496], [0.705, 0.500, 0.990], [0.742, 0.250, 0.251], [0.742, 0.750, 0.251], [0.770, 0.255, 0.740], [0.770, 0.745, 0.740], [0.791, 0.000, 0.994], [0.817, 0.500, 0.497]]}